A plane-wave DFT calculation with GGA-PBE was carried out for an optimized crystal structure of LaCr4Ni.

Output
V in Å³/f.u.: 89
DOS at the Fermi energy in states/eV/cell: 8.21

abc: 5.014 5.014 5.014
angles: 60.00 60.00 60.00
Element x y z (fractional)
La (0.750, 0.750, 0.750)
Cr (0.881, 0.373, 0.373)
Cr (0.373, 0.373, 0.881)
Cr (0.373, 0.881, 0.373)
Cr (0.373, 0.373, 0.373)
Ni (0.000, 0.000, 0.000)

=====

A plane-wave DFT calculation with GGA-PBE was carried out for an optimized crystal structure of LiPr6Ag5.

Output
V in Å³/f.u.: 327
DOS at the Fermi energy in states/eV/cell: 13.20

abc: 5.372 7.522 8.545
angles: 90.00 108.96 90.00
Element x y z (fractional)
Pr (0.831, 0.749, 0.661)
Pr (0.831, 0.251, 0.661)
Pr (0.500, 0.257, 0.000)
Pr (0.500, 0.743, 0.000)
Pr (0.169, 0.749, 0.339)
Pr (0.169, 0.251, 0.339)
Ag (0.666, 0.500, 0.334)
Ag (0.345, 0.000, 0.686)
Ag (0.000, 0.500, 0.000)
Ag (0.655, 0.000, 0.314)
Ag (0.334, 0.500, 0.666)
Li (0.000, 0.000, 0.000)

=====

A plane-wave DFT calculation with GGA-PBE was carried out for an optimized crystal structure of NbCdCu.

Output
V in Å³/f.u.: 51
Polymorph energy (0 for the lowest one) in eV/f.u.: 0.10
DOS at the Fermi energy in states/eV/cell: 4.99

abc: 5.804 2.884 12.639
angles: 90.00 104.45 90.00
Element x y z (fractional)
Nb (0.243, 0.000, 0.007)
Nb (0.757, 0.000, 0.993)
Nb (0.243, 0.500, 0.507)
Nb (0.757, 0.500, 0.493)
Cu (0.926, 0.000, 0.342)
Cu (0.074, 0.000, 0.658)
Cu (0.926, 0.500, 0.842)
Cu (0.074, 0.500, 0.158)
Cd (0.618, 0.000, 0.678)
Cd (0.382, 0.000, 0.322)
Cd (0.618, 0.500, 0.178)
Cd (0.382, 0.500, 0.822)

=====

A plane-wave DFT calculation with GGA-PBE was carried out for an optimized crystal structure of Li2TbBiO4.

Output
V in Å³/f.u.: 111
DOS at the Fermi energy in states/eV/cell: 0.00
Formation energy (no corrections) in meV/atom: -2067.5

abc: 6.726 6.726 6.674
angles: 115.87 115.87 98.26
Element x y z (fractional)
Li (0.500, 0.000, 0.000)
Li (0.500, 0.000, 0.500)
Li (0.000, 0.000, 0.500)
Li (0.500, 0.500, 0.000)
Tb (0.000, 0.500, 0.000)
Tb (0.000, 0.500, 0.500)
Bi (0.500, 0.500, 0.500)
Bi (0.000, 0.000, 0.000)
O (0.230, 0.756, 0.966)
O (0.744, 0.270, 0.534)
O (0.256, 0.730, 0.466)
O (0.770, 0.244, 0.034)
O (0.746, 0.701, 0.985)
O (0.799, 0.754, 0.515)
O (0.201, 0.246, 0.485)
O (0.254, 0.299, 0.015)

=====

A plane-wave DFT calculation with GGA-PBE was carried out for an optimized crystal structure of LiHo2TlO.

Output
V in Å³/f.u.: 97
DOS at the Fermi energy in states/eV/cell: 1.38
Formation energy (no corrections) in meV/atom: -1389.4

abc: 4.300 4.754 4.754
angles: 90.00 90.00 90.00
Element x y z (fractional)
Li (0.500, 0.000, 0.000)
Ho (0.000, 0.000, 0.500)
Ho (0.000, 0.500, 0.000)
Tl (0.500, 0.500, 0.500)
O (0.000, 0.000, 0.000)

=====

A plane-wave DFT calculation with GGA-PBE was carried out for an optimized crystal structure of Sm3ScAl4.

Output
V in Å³/f.u.: 188
DOS at the Fermi energy in states/eV/cell: 2.77

abc: 3.581 3.581 14.622
angles: 90.00 90.00 90.00
Element x y z (fractional)
Sc (0.500, 0.500, 0.000)
Al (0.000, 0.000, 0.896)
Al (0.000, 0.000, 0.104)
Al (0.000, 0.000, 0.369)
Al (0.000, 0.000, 0.631)
Sm (0.500, 0.500, 0.238)
Sm (0.500, 0.500, 0.500)
Sm (0.500, 0.500, 0.762)

=====

A plane-wave DFT calculation with GGA-PBE was carried out for an optimized crystal structure of PdRh2SN.

Output
V in Å³/f.u.: 71
DOS at the Fermi energy in states/eV/cell: 5.80
Formation energy (no corrections) in meV/atom: 933.4

abc: 4.552 3.423 4.552
angles: 90.00 90.00 90.00
Element x y z (fractional)
S (0.000, 0.000, 0.000)
Rh (0.000, 0.000, 0.500)
Rh (0.500, 0.000, 0.000)
Pd (0.500, 0.500, 0.500)
N (0.000, 0.500, 0.000)

=====

A plane-wave DFT calculation with GGA-PBE was carried out for an optimized crystal structure of Ho4SnSbC.

Output
V in Å³/f.u.: 179
DOS at the Fermi energy in states/eV/cell: 7.09
Formation energy (no corrections) in meV/atom: -733.5

abc: 6.758 6.754 8.553
angles: 90.00 113.27 90.00
Element x y z (fractional)
Ho (0.908, 0.250, 0.816)
Ho (0.407, 0.750, 0.814)
Ho (0.092, 0.750, 0.184)
Ho (0.593, 0.250, 0.186)
Ho (0.500, 0.500, 0.500)
Ho (0.000, 0.000, 0.500)
Ho (0.500, 0.000, 0.500)
Ho (0.000, 0.500, 0.500)
Sn (0.108, 0.250, 0.216)
Sn (0.892, 0.750, 0.784)
Sb (0.608, 0.750, 0.216)
Sb (0.392, 0.250, 0.784)
C (0.250, 0.750, 0.500)
C (0.750, 0.250, 0.500)

=====

A plane-wave DFT calculation with GGA-PBE was carried out for an optimized crystal structure of FeHg2Rh.

Output
V in Å³/f.u.: 76
Polymorph energy (0 for the lowest one) in eV/f.u.: 1.64
DOS at the Fermi energy in states/eV/cell: 5.34

abc: 7.393 7.393 5.921
angles: 51.36 51.36 90.00
Element x y z (fractional)
Rh (0.000, 0.000, 0.000)
Rh (0.750, 0.250, 0.500)
Hg (0.617, 0.125, 0.250)
Hg (0.133, 0.625, 0.250)
Hg (0.375, 0.383, 0.750)
Hg (0.875, 0.867, 0.750)
Fe (0.500, 0.500, 0.000)
Fe (0.250, 0.750, 0.500)

=====

A plane-wave DFT calculation with GGA-PBE was carried out for an optimized crystal structure of LiH2W.

Output
V in Å³/f.u.: 30
Polymorph energy (0 for the lowest one) in eV/f.u.: 2.50
DOS at the Fermi energy in states/eV/cell: 1.32

abc: 3.475 3.475 3.475
angles: 60.00 60.00 60.00
Element x y z (fractional)
H (0.250, 0.250, 0.250)
H (0.750, 0.750, 0.750)
W (0.500, 0.500, 0.500)
Li (0.000, 0.000, 0.000)

=====

A plane-wave DFT calculation with GGA-PBE was carried out for an optimized crystal structure of KAg2Se.

Output
V in Å³/f.u.: 128
DOS at the Fermi energy in states/eV/cell: 1.60
Formation energy (no corrections) in meV/atom: -196.1

abc: 8.294 8.294 5.618
angles: 47.13 47.13 27.58
Element x y z (fractional)
Ag (0.083, 0.083, 0.085)
Ag (0.417, 0.417, 0.415)
K (0.250, 0.250, 0.250)
Se (0.750, 0.750, 0.750)

=====

A plane-wave DFT calculation with GGA-PBE was carried out for an optimized crystal structure of NaNdTe2.

Output
V in Å³/f.u.: 124
DOS at the Fermi energy in states/eV/cell: 1.34
Formation energy (no corrections) in meV/atom: -1116.9

abc: 3.923 3.923 8.079
angles: 90.00 90.00 90.00
Element x y z (fractional)
Na (0.500, 0.500, 0.500)
Te (0.000, 0.000, 0.769)
Te (0.000, 0.000, 0.231)
Nd (0.500, 0.500, 0.000)

=====

Short version: DFT total energy = -7.59, -3.92, -4.89, -6.09, -5.07, -4.82, -5.54, -5.83, -3.52, -4.74, -2.77, -4.21 eV/atom, in the order given.